An optimized crystal structure of KHg2OsSe. Source: Alexandria via LeMat-Bulk, functional PBE-GGA.

Unit cell a=5.2553 b=5.2553 c=6.2966 alpha=90.00 beta=90.00 gamma=90.00
Sites, in units of the cell vectors:
K 0.0000 0.0000 0.0000
Hg 0.0000 0.5000 0.5000
Hg 0.5000 0.0000 0.5000
Os 0.0000 0.0000 0.5000
Se 0.5000 0.5000 0.0000

Output
Its total DFT energy (no corrections) is -2.4109 eV per atom. Its space-group type is P4/mmm, No. 123.

=====

An optimized crystal structure of K2TlHgOs. Source: Alexandria via LeMat-Bulk, functional PBE-GGA.

Unit cell a=6.2635 b=6.2635 c=5.6196 alpha=90.00 beta=90.00 gamma=90.00
Sites, in units of the cell vectors:
K 0.0000 0.5000 0.0000
K 0.5000 0.0000 0.0000
Tl 0.0000 0.0000 0.5000
Hg 0.0000 0.0000 0.0000
Os 0.5000 0.5000 0.5000

Output
Its formation energy is 1.325 eV/atom. Its space-group type is P4/mmm, No. 123.

=====

| no. | N(E_F) (states/eV/cell) | total magnetization (μB/cell) |
| --- | --- | --- |
| 1 | 6.320 | 3.1 |
| 2 | 6.294 | 2.5 |